VASP calculation (PBE-GGA) on crystalline ReOsAuF2 at its relaxed geometry.

Results
The calculation puts the energy relative to the elements, uncorrected at 993 meV/atom.

Cell: 3.932 3.932 5.753 Å, 90.00 90.00 90.00°
Space group P4/mmm (No. 123)
Symmetry-distinct sites (fractional):
Re 0.000 0.000 0.000 (multiplicity 1)
Os 0.500 0.500 0.000 (multiplicity 1)
Au 0.500 0.500 0.500 (multiplicity 1)
F 0.000 0.500 0.500 (multiplicity 2)

VASP calculation (PBE-GGA) on crystalline SiOsAu2F at its relaxed geometry.

Results
The calculation puts the energy relative to the elements, uncorrected at 772 meV/atom.

Cell: 5.060 5.060 4.588 Å, 90.00 90.00 90.00°
Space group P4/mmm (No. 123)
Symmetry-distinct sites (fractional):
Si 0.000 0.000 0.000 (multiplicity 1)
Os 0.000 0.000 0.500 (multiplicity 1)
Au 0.000 0.500 0.500 (multiplicity 2)
F 0.500 0.500 0.000 (multiplicity 1)

VASP calculation (PBE-GGA) on crystalline TeOsAuF2 at its relaxed geometry.

Results
The calculation puts the energy relative to the elements, uncorrected at -237 meV/atom.

Cell: 4.013 4.013 5.705 Å, 90.00 90.00 90.00°
Space group P4/mmm (No. 123)
Symmetry-distinct sites (fractional):
Te 0.000 0.000 0.000 (multiplicity 1)
Os 0.500 0.500 0.500 (multiplicity 1)
Au 0.500 0.500 0.000 (multiplicity 1)
F 0.000 0.500 0.500 (multiplicity 2)

VASP calculation (PBE-GGA) on crystalline PAu3F at its relaxed geometry.

Results
Its distance to the lowest polymorph of the same formula is 0.000 eV per atom. The calculation puts the energy relative to the elements, uncorrected at 61 meV/atom.

Cell: 4.706 4.706 4.706 Å, 90.00 90.00 90.00°
Space group Pm-3m (No. 221)
Symmetry-distinct sites (fractional):
P 0.000 0.000 0.000 (multiplicity 1)
Au 0.000 0.000 0.500 (multiplicity 3)
F 0.500 0.500 0.500 (multiplicity 1)

For each record above, in turn, the calculated energy values are -25.73; -21.22; -22.58; -16.81 eV per cell.